Crystalline SrTh2TaN4 at its relaxed geometry. Source: Alexandria, functional GGA-PBE.

Summary:
**Crystal system**: orthorhombic
**DOS(E_F)**: 9.8 states/eV/cell
**Formation energy (no corrections)**: -875 kJ/mol of formula units
**Magnetic moment**: 0.000 μB/f.u.

abc: 6.5353 6.5353 12.6905
angles: 90.00 90.00 148.71
Element x y z (fractional)
Sr  0.0942  0.9058  0.7500
Sr  0.9058  0.0942  0.2500
Th  0.3685  0.6315  0.5393
Th  0.3685  0.6315  0.9607
Th  0.6315  0.3685  0.0393
Th  0.6315  0.3685  0.4607
Ta  0.1737  0.8263  0.2500
Ta  0.8263  0.1737  0.7500
N  0.0000  0.0000  0.0000
N  0.0000  0.0000  0.5000
N  0.2689  0.7311  0.1269
N  0.2689  0.7311  0.3731
N  0.4139  0.5861  0.7500
N  0.5861  0.4139  0.2500
N  0.7311  0.2689  0.6269
N  0.7311  0.2689  0.8731

Crystalline Zr3Ga3Ru2 at its relaxed geometry. Source: Alexandria, functional GGA-PBE.

Summary:
**Crystal system**: orthorhombic
**DOS(E_F)**: 22.5 states/eV/cell
**Energy of formation**: -487 meV per atom
**Magnetic moment**: 0.000 μB/f.u.

abc: 6.8757 15.5285 5.4658
angles: 90.00 90.00 90.00
Element x y z (fractional)
Zr  0.0354  0.1114  0.1141
Zr  0.0354  0.3886  0.1141
Zr  0.1707  0.2500  0.6502
Zr  0.3293  0.7500  0.1502
Zr  0.4646  0.6114  0.6141
Zr  0.4646  0.8886  0.6141
Zr  0.5354  0.1114  0.3859
Zr  0.5354  0.3886  0.3859
Zr  0.6707  0.2500  0.8498
Zr  0.8293  0.7500  0.3498
Zr  0.9646  0.6114  0.8859
Zr  0.9646  0.8886  0.8859
Ga  0.1793  0.7500  0.6557
Ga  0.1813  0.0248  0.5894
Ga  0.1813  0.4752  0.5894
Ga  0.3187  0.5248  0.0894
Ga  0.3187  0.9752  0.0894
Ga  0.3207  0.2500  0.1557
Ga  0.6793  0.7500  0.8443
Ga  0.6813  0.0248  0.9106
Ga  0.6813  0.4752  0.9106
Ga  0.8187  0.5248  0.4106
Ga  0.8187  0.9752  0.4106
Ga  0.8207  0.2500  0.3443
Ru  0.1144  0.6197  0.3608
Ru  0.1144  0.8803  0.3608
Ru  0.3856  0.1197  0.8608
Ru  0.3856  0.3803  0.8608
Ru  0.6145  0.6197  0.1392
Ru  0.6145  0.8803  0.1392
Ru  0.8856  0.1197  0.6392
Ru  0.8856  0.3803  0.6392

Crystalline Tb3Pm2Ho6Sc at its relaxed geometry. Source: Alexandria, functional GGA-PBE.

Summary:
**Crystal system**: monoclinic
**DOS(E_F)**: 15.4 states/eV/cell
**Energy of formation**: 25 meV per atom
**Magnetic moment**: 0.000 μB/f.u.

abc: 6.1134 6.1134 11.7179
angles: 94.97 94.97 119.98
Element x y z (fractional)
Tb  0.0000  0.0000  0.0000
Tb  0.3336  0.6664  0.0000
Tb  0.6664  0.3336  0.0000
Pm  0.1663  0.8337  0.5000
Pm  0.8337  0.1663  0.5000
Ho  0.0868  0.4171  0.2508
Ho  0.2525  0.2525  0.7498
Ho  0.4171  0.0868  0.2508
Ho  0.5829  0.9132  0.7492
Ho  0.7475  0.7475  0.2502
Ho  0.9132  0.5829  0.7492
Sc  0.5000  0.5000  0.5000

Crystalline BaTaSb3 at its relaxed geometry. Source: Alexandria, functional GGA-PBE.

Summary:
**Crystal system**: cubic
**DOS(E_F)**: 14.4 states/eV/cell
**Formation energy (no corrections)**: 993 kJ/mol of formula units
**Energy relative to the lowest polymorph listed for this composition**: 2278 meV per atom
**Magnetic moment**: 0.000 μB/f.u.

abc: 5.9083 5.9083 5.9083
angles: 90.00 90.00 90.00
Element x y z (fractional)
Ba  0.0000  0.0000  0.0000
Ta  0.5000  0.5000  0.5000
Sb  0.0000  0.0000  0.5000
Sb  0.0000  0.5000  0.0000
Sb  0.5000  0.0000  0.0000

Crystalline NdTm4In5 at its relaxed geometry. Source: Alexandria, functional GGA-PBE.

Summary:
**Crystal system**: tetragonal
**DOS(E_F)**: 5.7 states/eV/cell
**Energy of formation**: -439 meV per atom
**Magnetic moment**: 0.000 μB/f.u.

abc: 3.7276 3.7276 18.9761
angles: 90.00 90.00 90.00
Element x y z (fractional)
Nd  0.0000  0.0000  0.0000
Tm  0.0000  0.0000  0.2072
Tm  0.0000  0.0000  0.4026
Tm  0.0000  0.0000  0.5974
Tm  0.0000  0.0000  0.7928
In  0.5000  0.5000  0.1101
In  0.5000  0.5000  0.3052
In  0.5000  0.5000  0.5000
In  0.5000  0.5000  0.6948
In  0.5000  0.5000  0.8899

Crystalline LaInMo3 at its relaxed geometry. Source: Alexandria, functional GGA-PBE.

Summary:
**Crystal system**: cubic
**DOS(E_F)**: 8.8 states/eV/cell
**Energy of formation**: 2107 meV per atom
**Energy relative to the lowest polymorph listed for this composition**: 304 meV per atom
**Magnetic moment**: 1.315 μB/f.u.

abc: 4.8457 4.8457 4.8457
angles: 90.00 90.00 90.00
Element x y z (fractional)
La  0.0000  0.0000  0.0000
In  0.5000  0.5000  0.5000
Mo  0.0000  0.0000  0.5000
Mo  0.0000  0.5000  0.0000
Mo  0.5000  0.0000  0.0000